1.
{"formula": "Nd2CdGa3", "functional": "PBE", "state": "optimized geometry", "lattice": [[-5.5095, 2.2746, 0.6180], [0.1120, -3.6324, 4.7648], [5.6168, 6.5498, 1.7156]], "species": ["Ga", "Ga", "Ga", "Ga", "Ga", "Ga", "Nd", "Nd", "Nd", "Nd", "Cd", "Cd"], "fractional_positions": [[0.8373, 0.8373, 0.6746], [0.1623, 0.6747, 0.8370], [0.3253, 0.8377, 0.1630], [0.8377, 0.3253, 0.1630], [0.1627, 0.1627, 0.3254], [0.6747, 0.1623, 0.8370], [0.2500, 0.7500, 0.5000], [0.7500, 0.2500, 0.5000], [0.7503, 0.7503, 0.0000], [0.2497, 0.2497, 0.0000], [0.6667, 0.6667, 0.3335], [0.3333, 0.3333, 0.6665]], "formation_enthalpy_0k_mev_per_atom": -559, "relative_energy_ev_per_fu": 0.000, "dos_ef_per_ev_atom": 0.565}

***

2.
{"formula": "Nd5Cd2Ga2", "functional": "PBE", "state": "optimized geometry", "lattice": [[7.8152, 0.0000, 0.0000], [0.0000, 7.9155, 0.0000], [0.0000, -3.9577, 8.4947]], "species": ["Nd", "Nd", "Nd", "Nd", "Nd", "Nd", "Nd", "Nd", "Nd", "Nd", "Ga", "Ga", "Ga", "Ga", "Cd", "Cd", "Cd", "Cd"], "fractional_positions": [[0.6810, 0.0578, 0.7381], [0.8190, 0.5578, 0.7381], [0.0000, 0.0000, 0.0000], [0.5000, 0.5000, 0.0000], [0.8190, 0.8197, 0.2619], [0.1810, 0.1803, 0.7381], [0.3190, 0.9422, 0.2619], [0.1810, 0.4422, 0.2619], [0.3190, 0.6803, 0.7381], [0.6810, 0.3197, 0.2619], [0.3849, 0.1150, 0.0000], [0.1151, 0.6150, 0.0000], [0.8849, 0.3850, 0.0000], [0.6151, 0.8850, 0.0000], [0.0000, 0.7788, 0.5576], [0.5000, 0.2788, 0.5576], [0.0000, 0.2212, 0.4424], [0.5000, 0.7212, 0.4424]], "formation_enthalpy_0k_mev_per_atom": -362, "dos_ef_per_ev_atom": 1.000}

***

3.
{"formula": "Nd2CdGa12", "functional": "PBE", "state": "optimized geometry", "lattice": [[-5.4835, -0.7058, -2.1946], [2.3029, -1.4195, -5.2977], [0.3094, -16.9145, 4.6666]], "species": ["Ga", "Ga", "Ga", "Ga", "Ga", "Ga", "Ga", "Ga", "Ga", "Ga", "Ga", "Ga", "Ga", "Ga", "Ga", "Ga", "Ga", "Ga", "Ga", "Ga", "Ga", "Ga", "Ga", "Ga", "Nd", "Nd", "Nd", "Nd", "Cd", "Cd"], "fractional_positions": [[0.5000, 0.5000, 0.7924], [0.0000, 0.0000, 0.6494], [0.7512, 0.7488, 0.8855], [0.5000, 0.5000, 0.3506], [0.3152, 0.8152, 0.4347], [0.3152, 0.1848, 0.5653], [0.6848, 0.1848, 0.4347], [0.0000, 0.0000, 0.3506], [0.8152, 0.3152, 0.5653], [0.1848, 0.6848, 0.5653], [0.0000, 0.0000, 0.2076], [0.2512, 0.2488, 0.1145], [0.0000, 0.0000, 0.7924], [0.5000, 0.5000, 0.2076], [0.8152, 0.6848, 0.4347], [0.2512, 0.7512, 0.8855], [0.7488, 0.7512, 0.1145], [0.7512, 0.2512, 0.1145], [0.6848, 0.8152, 0.5653], [0.5000, 0.5000, 0.6494], [0.7488, 0.2488, 0.8855], [0.2488, 0.2512, 0.8855], [0.2488, 0.7488, 0.1145], [0.1848, 0.3152, 0.4347], [0.5000, 0.0000, 0.7204], [0.5000, 0.0000, 0.2796], [0.0000, 0.5000, 0.7204], [0.0000, 0.5000, 0.2796], [0.0000, 0.5000, 0.0000], [0.5000, 0.0000, 0.0000]], "formation_enthalpy_0k_mev_per_atom": -272, "dos_ef_per_ev_atom": 0.303}

***

4.
{"formula": "Nd4CdGa2", "functional": "PBE", "state": "optimized geometry", "lattice": [[5.0055, 0.0000, 1.5638], [2.2585, 4.4670, 1.5638], [-0.0341, -0.0209, 8.9017]], "species": ["Nd", "Nd", "Nd", "Nd", "Cd", "Ga", "Ga"], "fractional_positions": [[0.8686, 0.8686, 0.3944], [0.3840, 0.3840, 0.8480], [0.1314, 0.1314, 0.6056], [0.6160, 0.6160, 0.1520], [0.0000, 0.0000, 0.0000], [0.2546, 0.2546, 0.2362], [0.7454, 0.7454, 0.7638]], "formation_enthalpy_0k_mev_per_atom": -366, "relative_energy_ev_per_fu": 0.000, "dos_ef_per_ev_atom": 0.928}

***

5.
{"formula": "Nd4CdGa2", "functional": "PBE", "state": "optimized geometry", "lattice": [[-2.6337, 1.2871, 4.3440], [-4.9354, -1.6364, 0.6537], [0.4502, -7.4907, 5.6535]], "species": ["Ga", "Ga", "Nd", "Nd", "Nd", "Nd", "Cd"], "fractional_positions": [[0.9018, 0.9018, 0.2946], [0.0982, 0.0982, 0.7054], [0.3804, 0.3804, 0.8588], [0.6196, 0.6196, 0.1412], [0.2105, 0.2105, 0.3684], [0.7895, 0.7895, 0.6316], [0.0000, 0.0000, 0.0000]], "formation_enthalpy_0k_mev_per_atom": -242, "relative_energy_ev_per_fu": 0.866, "dos_ef_per_ev_atom": 1.161}

***

6.
{"formula": "Nd2Cd2Ga", "functional": "PBE", "state": "optimized geometry", "lattice": [[6.8574, 2.4476, 3.9685], [4.5668, 5.6709, 3.9685], [1.3546, 0.9626, 6.0687]], "species": ["Ga", "Cd", "Cd", "Nd", "Nd"], "fractional_positions": [[0.0000, 0.0000, 0.0000], [0.4173, 0.4173, 0.4719], [0.5827, 0.5827, 0.5281], [0.3100, 0.3100, 0.1590], [0.6900, 0.6900, 0.8410]], "formation_enthalpy_0k_mev_per_atom": -195, "dos_ef_per_ev_atom": 1.024}

***

7.
{"formula": "Nd4CdGa12", "functional": "PBE", "state": "optimized geometry", "lattice": [[7.2921, 0.0000, -2.5781], [-3.6460, 6.3151, -2.5781], [0.0000, 0.0000, 7.7344]], "species": ["Ga", "Ga", "Ga", "Ga", "Ga", "Ga", "Ga", "Ga", "Ga", "Ga", "Ga", "Ga", "Nd", "Nd", "Nd", "Nd", "Cd"], "fractional_positions": [[0.5000, 0.7500, 0.2500], [0.6845, 0.0000, 0.6845], [0.5000, 0.2500, 0.7500], [0.3155, 0.3155, 0.0000], [0.7500, 0.5000, 0.2500], [0.0000, 0.3155, 0.3155], [0.0000, 0.6845, 0.6845], [0.7500, 0.2500, 0.5000], [0.2500, 0.7500, 0.5000], [0.6845, 0.6845, 0.0000], [0.3155, 0.0000, 0.3155], [0.2500, 0.5000, 0.7500], [0.5000, 0.0000, 0.0000], [0.5000, 0.5000, 0.5000], [0.0000, 0.5000, 0.0000], [0.0000, 0.0000, 0.5000], [0.0000, 0.0000, 0.0000]], "formation_enthalpy_0k_mev_per_atom": -515, "dos_ef_per_ev_atom": 0.504}

***

8.
{"formula": "Nd6CdGa", "functional": "PBE", "state": "optimized geometry", "lattice": [[-2.6207, 2.6207, 9.0648], [2.6207, -2.6207, 9.0648], [2.6207, 2.6207, -9.0648]], "species": ["Nd", "Nd", "Nd", "Nd", "Nd", "Nd", "Ga", "Cd"], "fractional_positions": [[0.1074, 0.6074, 0.5000], [0.7498, 0.7498, 0.0000], [0.3926, 0.8926, 0.5000], [0.2502, 0.2502, 0.0000], [0.8926, 0.3926, 0.5000], [0.6074, 0.1074, 0.5000], [0.5000, 0.5000, 0.0000], [0.0000, 0.0000, 0.0000]], "formation_enthalpy_0k_mev_per_atom": -198, "dos_ef_per_ev_atom": 1.091}

***

9.
{"formula": "Nd2CdGa3", "functional": "PBE", "state": "optimized geometry", "lattice": [[3.9464, 0.0000, -1.0505], [-0.3292, 4.3513, -1.2366], [0.1169, 0.0258, 8.3772]], "species": ["Nd", "Nd", "Ga", "Ga", "Ga", "Cd"], "fractional_positions": [[0.8614, 0.3614, 0.7228], [0.1371, 0.1371, 0.2741], [0.2913, 0.7913, 0.5826], [0.5451, 0.5451, 0.0901], [0.7049, 0.7049, 0.4099], [0.4602, 0.9602, 0.9204]], "formation_enthalpy_0k_mev_per_atom": -555, "relative_energy_ev_per_fu": 0.021, "dos_ef_per_ev_atom": 0.703}

***

10.
{"formula": "NdCd4Ga2", "functional": "PBE", "state": "optimized geometry", "lattice": [[-3.2245, -2.9815, -0.0829], [2.7452, -2.9157, -1.9134], [0.8608, -1.1576, 8.1463]], "species": ["Ga", "Ga", "Cd", "Cd", "Cd", "Cd", "Nd"], "fractional_positions": [[0.5000, 0.5762, 0.1524], [0.5000, 0.4238, 0.8476], [0.0000, 0.6823, 0.3646], [0.0000, 0.3177, 0.6354], [0.5000, 0.8226, 0.6452], [0.5000, 0.1774, 0.3548], [0.0000, 0.0000, 0.0000]], "formation_enthalpy_0k_mev_per_atom": -270, "dos_ef_per_ev_atom": 0.319}

***

11.
{"formula": "Nd2Cd3Ga", "functional": "PBE", "state": "optimized geometry", "lattice": [[-1.5155, -4.3164, -1.0165], [3.4657, -0.7453, -2.0023], [2.5183, -0.3745, 8.6377]], "species": ["Ga", "Nd", "Nd", "Cd", "Cd", "Cd"], "fractional_positions": [[0.4494, 0.9494, 0.8988], [0.8905, 0.3905, 0.7810], [0.1142, 0.1142, 0.2284], [0.2933, 0.7933, 0.5866], [0.5441, 0.5441, 0.0881], [0.7085, 0.7085, 0.4170]], "formation_enthalpy_0k_mev_per_atom": -303, "relative_energy_ev_per_fu": 0.573, "dos_ef_per_ev_atom": 1.098}

***

12.
{"formula": "Nd3CdGa", "functional": "PBE", "state": "optimized geometry", "lattice": [[5.2328, 0.0000, 1.1958], [0.0000, 5.3664, 0.0000], [0.3886, 0.0000, 10.3467]], "species": ["Cd", "Cd", "Nd", "Nd", "Nd", "Nd", "Nd", "Nd", "Ga", "Ga"], "fractional_positions": [[0.6687, 0.7500, 0.3109], [0.9796, 0.2500, 0.6891], [0.3879, 0.2500, 0.8726], [0.5735, 0.2500, 0.5014], [0.8893, 0.7500, 0.8698], [0.0749, 0.7500, 0.4986], [0.2605, 0.7500, 0.1274], [0.7591, 0.2500, 0.1302], [0.4799, 0.7500, 0.6886], [0.1685, 0.2500, 0.3114]], "formation_enthalpy_0k_mev_per_atom": -316, "dos_ef_per_ev_atom": 1.179}